Record 1
# Na2GdAg | Alexandria | PBE-GGA | relaxed
data_Na2GdAg
_chemical_formula_sum 'Na6 Gd3 Ag3'
_space_group_name_H-M_alt 'R -3 m'
_space_group_IT_number 166
_space_group_name_Hall '-R 3 2"'
_cell_length_a 3.3074
_cell_length_b 3.3074
_cell_length_c 35.1186
_cell_angle_alpha 90.00
_cell_angle_beta 90.00
_cell_angle_gamma 120.00
loop_
_atom_site_label
_atom_site_type_symbol
_atom_site_fract_x
_atom_site_fract_y
_atom_site_fract_z
Na1 Na 0.0000 0.0000 0.0966
Gd1 Gd 0.0000 0.0000 0.0000
Ag1 Ag 0.0000 0.0000 0.5000
# N(E_F) (states/eV per atom): 0.85
# ΔH_f (0 K) (eV per formula unit): 0.89
# VASP energy (eV/atom): -4.6702
# Calculated volume (A^3/atom): 27.72

***

Record 2
# Be2Rh | Alexandria | PBE-GGA | relaxed
data_Be2Rh
_chemical_formula_sum 'Be4 Rh2'
_space_group_name_H-M_alt 'I 4/m m m'
_space_group_IT_number 139
_space_group_name_Hall '-I 4 2'
_cell_length_a 2.8504
_cell_length_b 2.8504
_cell_length_c 7.4015
_cell_angle_alpha 90.00
_cell_angle_beta 90.00
_cell_angle_gamma 90.00
loop_
_atom_site_label
_atom_site_type_symbol
_atom_site_fract_x
_atom_site_fract_y
_atom_site_fract_z
Be1 Be 0.0000 0.0000 0.1652
Rh1 Rh 0.0000 0.0000 0.5000
# N(E_F) (states/eV per atom): 0.16
# ΔH_f (0 K) (eV per formula unit): -1.57
# VASP energy (eV/atom): -5.4574
# Calculated volume (A^3/atom): 10.02

***

Record 3
# Li2IO | Alexandria | PBE-GGA | relaxed
data_Li2IO
_chemical_formula_sum 'Li8 I4 O4'
_space_group_name_H-M_alt 'I -4 2 d'
_space_group_IT_number 122
_space_group_name_Hall 'I -4 2bw'
_cell_length_a 5.9965
_cell_length_b 5.9965
_cell_length_c 8.5861
_cell_angle_alpha 90.00
_cell_angle_beta 90.00
_cell_angle_gamma 90.00
loop_
_atom_site_label
_atom_site_type_symbol
_atom_site_fract_x
_atom_site_fract_y
_atom_site_fract_z
Li1 Li 0.0186 0.2500 0.1250
I1 I 0.0000 0.0000 0.5000
O1 O 0.0000 0.0000 0.0000
# N(E_F) (states/eV per atom): 0.47
# VASP energy (eV/atom): -3.6775
# Formation energy (no corrections) (kJ/mol of formula units): -422
# Calculated volume (A^3/atom): 19.30

***

Record 4
# KRe2 | Alexandria | PBE-GGA | relaxed
data_KRe2
_chemical_formula_sum 'K2 Re4'
_space_group_name_H-M_alt 'P 63/m m c'
_space_group_IT_number 194
_space_group_name_Hall '-P 6c 2c'
_cell_length_a 4.7713
_cell_length_b 4.7713
_cell_length_c 5.4642
_cell_angle_alpha 90.00
_cell_angle_beta 90.00
_cell_angle_gamma 120.00
loop_
_atom_site_label
_atom_site_type_symbol
_atom_site_fract_x
_atom_site_fract_y
_atom_site_fract_z
K1 K 0.3333 0.6667 0.2500
Re1 Re 0.0000 0.0000 0.0000
Re2 Re 0.3333 0.6667 0.7500
# N(E_F) (states/eV per atom): 1.18
# ΔH_f (0 K) (eV per formula unit): 7.66
# VASP energy (eV/atom): -6.1099
# Calculated volume (A^3/atom): 17.95

***

Record 5
# ErTiInAu | Alexandria | PBE-GGA | relaxed
data_ErTiInAu
_chemical_formula_sum 'Er4 Ti4 In4 Au4'
_space_group_name_H-M_alt 'F -4 3 m'
_space_group_IT_number 216
_space_group_name_Hall 'F -4 2 3'
_cell_length_a 7.0106
_cell_length_b 7.0106
_cell_length_c 7.0106
_cell_angle_alpha 90.00
_cell_angle_beta 90.00
_cell_angle_gamma 90.00
loop_
_atom_site_label
_atom_site_type_symbol
_atom_site_fract_x
_atom_site_fract_y
_atom_site_fract_z
Er1 Er 0.0000 0.0000 0.0000
Ti1 Ti 0.0000 0.0000 0.5000
In1 In 0.2500 0.2500 0.2500
Au1 Au 0.2500 0.2500 0.7500
# N(E_F) (states/eV per atom): 0.74
# ΔH_f (0 K) (eV per formula unit): -1.38
# VASP energy (eV/atom): -4.9623
# Calculated volume (A^3/atom): 21.53

***

Record 6
# KY2Ag | Alexandria | PBE-GGA | relaxed
data_KY2Ag
_chemical_formula_sum 'K1 Y2 Ag1'
_space_group_name_H-M_alt 'P 1 m 1'
_space_group_IT_number 6
_cell_length_a 3.6952
_cell_length_b 3.6966
_cell_length_c 10.0318
_cell_angle_alpha 90.00
_cell_angle_beta 90.07
_cell_angle_gamma 90.00
loop_
_space_group_symop_operation_xyz
'x,y,z'
'x,-y,z'
loop_
_atom_site_label
_atom_site_type_symbol
_atom_site_fract_x
_atom_site_fract_y
_atom_site_fract_z
K1 K 0.0000 0.0000 0.0000
Y1 Y 0.0025 0.0000 0.4113
Y2 Y 0.5031 0.5000 0.6465
Ag1 Ag 0.5019 0.5000 0.2526
# N(E_F) (states/eV per atom): 1.15
# ΔH_f (0 K) (eV per formula unit): 0.28
# VASP energy (eV/atom): -4.1497
# Calculated volume (A^3/atom): 34.26

***

Record 7
# Pu4SnGe3 | Alexandria | PBE-GGA | relaxed
data_Pu4SnGe3
_chemical_formula_sum 'Pu4 Sn1 Ge3'
_space_group_name_H-M_alt 'P m m m'
_space_group_IT_number 47
_cell_length_a 2.9321
_cell_length_b 5.5884
_cell_length_c 11.1333
_cell_angle_alpha 90.00
_cell_angle_beta 90.00
_cell_angle_gamma 90.00
loop_
_space_group_symop_operation_xyz
'x,y,z'
'-x,-y,-z'
'-x,-y,z'
'x,y,-z'
'x,-y,-z'
'-x,y,z'
'-x,y,-z'
'x,-y,z'
loop_
_atom_site_label
_atom_site_type_symbol
_atom_site_fract_x
_atom_site_fract_y
_atom_site_fract_z
Pu1 Pu 0.0000 0.0000 0.0000
Pu2 Pu 0.0000 0.0000 0.5000
Pu3 Pu 0.0000 0.5000 0.2376
Sn1 Sn 0.5000 0.5000 0.5000
Ge1 Ge 0.5000 0.0000 0.2494
Ge2 Ge 0.5000 0.5000 0.0000
# N(E_F) (states/eV per atom): 3.63
# ΔH_f (0 K) (eV per formula unit): -3.21
# VASP energy (eV/atom): -9.7986
# Calculated volume (A^3/atom): 22.80

***

Record 8
# LiY4Mg3 | Alexandria | PBE-GGA | relaxed
data_LiY4Mg3
_chemical_formula_sum 'Li3 Y12 Mg9'
_space_group_name_H-M_alt 'R -3 m'
_space_group_IT_number 166
_space_group_name_Hall '-R 3 2"'
_cell_length_a 5.3563
_cell_length_b 5.3563
_cell_length_c 26.1934
_cell_angle_alpha 90.00
_cell_angle_beta 90.00
_cell_angle_gamma 120.00
loop_
_atom_site_label
_atom_site_type_symbol
_atom_site_fract_x
_atom_site_fract_y
_atom_site_fract_z
Li1 Li 0.0000 0.0000 0.0000
Y1 Y 0.0000 0.0000 0.1239
Y2 Y 0.0000 0.0000 0.3741
Mg1 Mg 0.0000 0.0000 0.2485
Mg2 Mg 0.0000 0.0000 0.5000
# N(E_F) (states/eV per atom): 1.42
# ΔH_f (0 K) (eV per formula unit): -0.40
# VASP energy (eV/atom): -4.1187
# Calculated volume (A^3/atom): 27.12

***

Record 9
# RbTaFeGeTe | Alexandria | PBE-GGA | relaxed
data_RbTaFeGeTe
_chemical_formula_sum 'Rb1 Ta1 Fe1 Ge1 Te1'
_space_group_name_H-M_alt 'P 1 m 1'
_space_group_IT_number 6
_cell_length_a 3.9522
_cell_length_b 3.3119
_cell_length_c 9.2212
_cell_angle_alpha 90.00
_cell_angle_beta 101.16
_cell_angle_gamma 90.00
loop_
_space_group_symop_operation_xyz
'x,y,z'
'x,-y,z'
loop_
_atom_site_label
_atom_site_type_symbol
_atom_site_fract_x
_atom_site_fract_y
_atom_site_fract_z
Rb1 Rb 0.0000 0.0000 0.0000
Ta1 Ta 0.2348 0.0000 0.5011
Fe1 Fe 0.8198 0.5000 0.5910
Ge1 Ge 0.3855 0.5000 0.7432
Te1 Te 0.6380 0.5000 0.3093
# N(E_F) (states/eV per atom): 0.57
# VASP energy (eV/atom): -5.8181
# Formation energy (no corrections) (kJ/mol of formula units): -5
# Calculated volume (A^3/atom): 23.68

***

Record 10
# TbScCuPt | Alexandria | PBE-GGA | relaxed
data_TbScCuPt
_chemical_formula_sum 'Tb4 Sc4 Cu4 Pt4'
_space_group_name_H-M_alt 'F -4 3 m'
_space_group_IT_number 216
_space_group_name_Hall 'F -4 2 3'
_cell_length_a 6.7921
_cell_length_b 6.7921
_cell_length_c 6.7921
_cell_angle_alpha 90.00
_cell_angle_beta 90.00
_cell_angle_gamma 90.00
loop_
_atom_site_label
_atom_site_type_symbol
_atom_site_fract_x
_atom_site_fract_y
_atom_site_fract_z
Tb1 Tb 0.0000 0.0000 0.0000
Sc1 Sc 0.0000 0.0000 0.5000
Cu1 Cu 0.2500 0.2500 0.7500
Pt1 Pt 0.2500 0.2500 0.2500
# N(E_F) (states/eV per atom): 0.60
# ΔH_f (0 K) (eV per formula unit): -2.99
# VASP energy (eV/atom): -6.0223
# Calculated volume (A^3/atom): 19.58

***

Record 11
# YErAlAg | Alexandria | PBE-GGA | relaxed
data_YErAlAg
_chemical_formula_sum 'Y4 Er4 Al4 Ag4'
_space_group_name_H-M_alt 'F -4 3 m'
_space_group_IT_number 216
_space_group_name_Hall 'F -4 2 3'
_cell_length_a 7.2630
_cell_length_b 7.2630
_cell_length_c 7.2630
_cell_angle_alpha 90.00
_cell_angle_beta 90.00
_cell_angle_gamma 90.00
loop_
_atom_site_label
_atom_site_type_symbol
_atom_site_fract_x
_atom_site_fract_y
_atom_site_fract_z
Y1 Y 0.0000 0.0000 0.0000
Er1 Er 0.0000 0.0000 0.5000
Al1 Al 0.2500 0.2500 0.2500
Ag1 Ag 0.2500 0.2500 0.7500
# N(E_F) (states/eV per atom): 0.80
# ΔH_f (0 K) (eV per formula unit): -1.44
# VASP energy (eV/atom): -4.7645
# Calculated volume (A^3/atom): 23.95

***

Record 12
# LaIrN2O | Alexandria | PBE-GGA | relaxed
data_LaIrN2O
_chemical_formula_sum 'La1 Ir1 N2 O1'
_space_group_name_H-M_alt 'P 4/m m m'
_space_group_IT_number 123
_space_group_name_Hall '-P 4 2'
_cell_length_a 3.8963
_cell_length_b 3.8963
_cell_length_c 4.2311
_cell_angle_alpha 90.00
_cell_angle_beta 90.00
_cell_angle_gamma 90.00
loop_
_atom_site_label
_atom_site_type_symbol
_atom_site_fract_x
_atom_site_fract_y
_atom_site_fract_z
La1 La 0.0000 0.0000 0.0000
Ir1 Ir 0.5000 0.5000 0.5000
N1 N 0.0000 0.5000 0.5000
O1 O 0.5000 0.5000 0.0000
# N(E_F) (states/eV per atom): 0.71
# VASP energy (eV/atom): -7.7319
# Formation energy (no corrections) (kJ/mol of formula units): -315
# Calculated volume (A^3/atom): 12.85